Record 1
A plane-wave DFT calculation with PBE was carried out for an optimized crystal structure of ThNbIr2.

The structure belongs to space group R-3m (No. 166, hexagonal axes); the cell edges are 4.3891, 4.3891 and 15.2492 Å and the angles 90.00°, 90.00° and 120.00°. The distinct sites, in fractional coordinates, are Th at (0.0000, 0.0000, 0.0000), Nb at (0.0000, 0.0000, 0.5000) and Ir at (0.0000, 0.0000, 0.2158).

The total energy comes out at -112.62 eV per cell. The formation energy is -0.58 eV per atom. Its density of states at the Fermi level is 11.1 states/eV/cell. As for the volume: 21.2 A^3/atom.

---

Record 2
A plane-wave DFT calculation with PBE was carried out for an optimized crystal structure of Th2NbIr.

The structure belongs to space group R-3m (No. 166, hexagonal axes); the cell edges are 3.7138, 3.7138 and 28.1257 Å and the angles 90.00°, 90.00° and 120.00°. The distinct sites, in fractional coordinates, are Th at (0.0000, 0.0000, 0.1001), Nb at (0.0000, 0.0000, 0.0000) and Ir at (0.0000, 0.0000, 0.5000).

The total energy comes out at -96.67 eV per cell. The formation energy is 0.39 eV per atom. Its density of states at the Fermi level is 16.6 states/eV/cell. As for the volume: 28.0 A^3/atom.

---

Record 3
A plane-wave DFT calculation with PBE was carried out for an optimized crystal structure of Ti3NbIr.

The structure belongs to space group P6_3/mmc (No. 194); the cell edges are 6.2570, 6.2570 and 5.4750 Å and the angles 90.00°, 90.00° and 120.00°. The distinct sites, in fractional coordinates, are Ti at (0.1921, 0.3841, 0.2500), Nb at (0.3333, 0.6667, 0.7500) and Ir at (0.0000, 0.0000, 0.0000).

The polymorph energy (0 for the lowest one) is 266 kJ/mol of formula units. The total energy comes out at -83.75 eV per cell. The formation energy is 0.15 eV per atom. Its density of states at the Fermi level is 9.6 states/eV/cell. As for the volume: 18.6 A^3/atom.